Version one
Compound: DyY4Ag
Source: the Alexandria database
Functional: PBE-GGA
Structure: relaxed

The space group is P4/mmm (No. 123) and the conventional cell measures 3.566, 3.566 and 13.995 Å, with angles of 90.00, 90.00 and 90.00 degrees. The asymmetric unit holds Dy at (0.000, 0.000, 0.000), Y at (0.000, 0.000, 0.364), Y at (0.500, 0.500, 0.179) and Ag at (0.500, 0.500, 0.500).

The density comes out at 5.84 g cm⁻³. The magnetic moment comes out at 0.000 μB/cell.

Version two
Compound: DyY4Ag
Source: the Alexandria database
Functional: PBE-GGA
Structure: relaxed

The space group is Cmc2_1 (No. 36) and the conventional cell measures 5.458, 20.831 and 6.453 Å, with angles of 90.00, 90.00 and 90.00 degrees. The asymmetric unit holds Dy at (0.000, 0.135, 0.000), Y at (0.000, 0.066, 0.500), Y at (0.000, 0.256, 0.375), Y at (0.000, 0.323, 0.862), Y at (0.000, 0.464, 0.663) and Ag at (0.000, 0.397, 0.256).

The density comes out at 5.67 g cm⁻³. The magnetic moment comes out at 0.001 μB/cell.

So which one wins? Going from most stable to least: version one, version two.

Version one
Compound: DyZn9Ag2
Source: the Alexandria database
Functional: PBE-GGA
Structure: relaxed

The space group is R-3m (No. 166, hexagonal axes) and the conventional cell measures 5.2254, 5.2254 and 24.9135 Å, with angles of 90.00, 90.00 and 120.00 degrees. The asymmetric unit holds Dy at (0.0000, 0.0000, 0.0000), Zn at (0.0000, 0.0000, 0.3336), Zn at (0.0000, 0.0000, 0.5000), Zn at (0.0055, 0.5028, 0.9139) and Ag at (0.0000, 0.0000, 0.1376).

The density comes out at 8.18 g cm⁻³. The magnetic moment comes out at 0.000 μB/cell.

Version two
Compound: DyZn9Ag2
Source: the Alexandria database
Functional: PBE-GGA
Structure: relaxed

The space group is P6/mmm (No. 191) and the conventional cell measures 8.8041, 8.8041 and 3.0365 Å, with angles of 90.00, 90.00 and 120.00 degrees. The asymmetric unit holds Dy at (0.0000, 0.0000, 0.0000), Zn at (0.0000, 0.5000, 0.0000), Zn at (0.1792, 0.3584, 0.5000) and Ag at (0.3333, 0.6667, 0.0000).

The density comes out at 7.88 g cm⁻³. The magnetic moment comes out at 0.010 μB/cell.

So which one wins? Going from most stable to least: version one, version two.

Version one
Compound: Dy2Zn2Ag3
Source: the Alexandria database
Functional: PBE-GGA
Structure: relaxed

The space group is C2/m (No. 12) and the conventional cell measures 9.957, 4.518 and 6.793 Å, with angles of 90.00, 108.91 and 90.00 degrees. The asymmetric unit holds Dy at (0.141, 0.000, 0.270), Zn at (0.100, 0.500, 0.921), Ag at (0.000, 0.500, 0.500) and Ag at (0.162, 0.000, 0.743).

The density comes out at 8.95 g cm⁻³. The magnetic moment comes out at 0.000 μB/cell.

Version two
Compound: Dy2Zn2Ag3
Source: the Alexandria database
Functional: PBE-GGA
Structure: relaxed

The space group is Cmmm (No. 65) and the conventional cell measures 4.229, 19.363 and 3.545 Å, with angles of 90.00, 90.00 and 90.00 degrees. The asymmetric unit holds Dy at (0.000, 0.155, 0.000), Zn at (0.000, 0.285, 0.500), Ag at (0.000, 0.000, 0.000) and Ag at (0.000, 0.428, 0.500).

The density comes out at 8.92 g cm⁻³. The magnetic moment comes out at 0.000 μB/cell.

So which one wins? Going from most stable to least: version one, version two.

Version one
Compound: DyZn4Ag
Source: the Alexandria database
Functional: PBE-GGA
Structure: relaxed

The space group is F-43m (No. 216) and the conventional cell measures 7.506, 7.506 and 7.506 Å, with angles of 90.00, 90.00 and 90.00 degrees. The asymmetric unit holds Dy at (0.000, 0.000, 0.000), Zn at (0.125, 0.125, 0.375) and Ag at (0.250, 0.250, 0.750).

The density comes out at 8.36 g cm⁻³. The magnetic moment comes out at 0.000 μB/cell.

Version two
Compound: DyZn4Ag
Source: the Alexandria database
Functional: PBE-GGA
Structure: relaxed

The space group is Cmcm (No. 63) and the conventional cell measures 4.045, 16.507 and 6.596 Å, with angles of 90.00, 90.00 and 90.00 degrees. The asymmetric unit holds Dy at (0.000, 0.112, 0.250), Zn at (0.000, 0.071, 0.750), Zn at (0.000, 0.340, 0.056), Zn at (0.000, 0.500, 0.000) and Ag at (0.000, 0.237, 0.750).

The density comes out at 8.02 g cm⁻³. The magnetic moment comes out at 0.000 μB/cell.

So which one wins? Going from most stable to least: version two, version one.

Version one
Compound: DyZn2Ag2
Source: the Alexandria database
Functional: PBE-GGA
Structure: relaxed

The space group is P-1 (No. 2) and the conventional cell measures 4.839, 5.629 and 8.159 Å, with angles of 73.43, 73.09 and 65.58 degrees. The asymmetric unit holds Dy at (0.249, 0.251, 0.250), Zn at (0.129, 0.762, 0.988), Zn at (0.372, 0.738, 0.511), Ag at (0.086, 0.161, 0.670) and Ag at (0.415, 0.337, 0.831).

The density comes out at 8.89 g cm⁻³. The magnetic moment comes out at 0.000 μB/cell.

Version two
Compound: DyZn2Ag2
Source: the Alexandria database
Functional: PBE-GGA
Structure: relaxed

The space group is C2/c (No. 15) and the conventional cell measures 5.048, 8.307 and 9.393 Å, with angles of 90.00, 103.34 and 90.00 degrees. The asymmetric unit holds Dy at (0.000, 0.165, 0.250), Zn at (0.075, 0.496, 0.386) and Ag at (0.047, 0.162, 0.908).

The density comes out at 8.82 g cm⁻³. The magnetic moment comes out at 0.000 μB/cell.

So which one wins? Going from most stable to least: version one, version two.

Version one
Compound: Dy2Zn5Ag5
Source: the Alexandria database
Functional: PBE-GGA
Structure: relaxed

The space group is Pmmm (No. 47) and the conventional cell measures 4.291, 5.624 and 9.477 Å, with angles of 90.00, 90.00 and 90.00 degrees. The asymmetric unit holds Dy at (0.000, 0.000, 0.000), Dy at (0.000, 0.500, 0.500), Zn at (0.000, 0.000, 0.334), Zn at (0.000, 0.500, 0.158), Zn at (0.500, 0.500, 0.000), Ag at (0.500, 0.000, 0.500) and Ag at (0.500, 0.249, 0.242).

The density comes out at 8.65 g cm⁻³. The magnetic moment comes out at 0.000 μB/cell.

Version two
Compound: Dy2Zn5Ag5
Source: the Alexandria database
Functional: PBE-GGA
Structure: relaxed

The space group is Pmmm (No. 47) and the conventional cell measures 4.542, 5.273 and 9.423 Å, with angles of 90.00, 90.00 and 90.00 degrees. The asymmetric unit holds Dy at (0.000, 0.000, 0.000), Dy at (0.000, 0.500, 0.500), Zn at (0.500, 0.000, 0.500), Zn at (0.500, 0.250, 0.255), Ag at (0.000, 0.000, 0.334), Ag at (0.000, 0.500, 0.176) and Ag at (0.500, 0.500, 0.000).

The density comes out at 8.77 g cm⁻³. The magnetic moment comes out at 0.000 μB/cell.

So which one wins? Going from most stable to least: version two, version one.

Version one
Compound: DyZnAg3
Source: the Alexandria database
Functional: PBE-GGA
Structure: relaxed

The space group is P2_1/m (No. 11) and the conventional cell measures 6.069, 4.662 and 6.888 Å, with angles of 90.00, 94.86 and 90.00 degrees. The asymmetric unit holds Dy at (0.249, 0.250, 0.261), Zn at (0.442, 0.250, 0.687), Ag at (0.059, 0.250, 0.823), Ag at (0.203, 0.750, 0.552) and Ag at (0.329, 0.750, 0.960).

The density comes out at 9.43 g cm⁻³. The magnetic moment comes out at 0.000 μB/cell.

Version two
Compound: DyZnAg3
Source: the Alexandria database
Functional: PBE-GGA
Structure: relaxed

The space group is Cmmm (No. 65) and the conventional cell measures 4.360, 25.866 and 3.737 Å, with angles of 90.00, 90.00 and 90.00 degrees. The asymmetric unit holds Dy at (0.000, 0.168, 0.000), Zn at (0.000, 0.379, 0.500), Ag at (0.000, 0.058, 0.500), Ag at (0.000, 0.280, 0.500) and Ag at (0.000, 0.448, 0.000).

The density comes out at 8.69 g cm⁻³. The magnetic moment comes out at 0.000 μB/cell.

So which one wins? Going from most stable to least: version one, version two.

Version one
Compound: Dy2ZnAg2
Source: the Alexandria database
Functional: PBE-GGA
Structure: relaxed

The space group is Cmmm (No. 65) and the conventional cell measures 4.488, 14.585 and 3.437 Å, with angles of 90.00, 90.00 and 90.00 degrees. The asymmetric unit holds Dy at (0.000, 0.116, 0.000), Zn at (0.000, 0.500, 0.500) and Ag at (0.000, 0.306, 0.500).

The density comes out at 8.95 g cm⁻³. The magnetic moment comes out at 0.000 μB/cell.

Version two
Compound: Dy2ZnAg2
Source: the Alexandria database
Functional: PBE-GGA
Structure: relaxed

The space group is C2/m (No. 12) and the conventional cell measures 10.648, 3.931 and 11.647 Å, with angles of 90.00, 111.42 and 90.00 degrees. The asymmetric unit holds Dy at (0.009, 0.000, 0.168), Dy at (0.187, 0.000, 0.608), Zn at (0.202, 0.500, 0.816), Ag at (0.032, 0.500, 0.389) and Ag at (0.156, 0.500, 0.043).

The density comes out at 8.87 g cm⁻³. The magnetic moment comes out at 0.000 μB/cell.

So which one wins? Going from most stable to least: version two, version one.

Version one
Compound: DyZrAg2
Source: the Alexandria database
Functional: PBE-GGA
Structure: relaxed

The space group is P4/mmm (No. 123) and the conventional cell measures 3.550, 3.550 and 7.049 Å, with angles of 90.00, 90.00 and 90.00 degrees. The asymmetric unit holds Dy at (0.000, 0.000, 0.000), Zr at (0.000, 0.000, 0.500) and Ag at (0.500, 0.500, 0.265).

The density comes out at 8.77 g cm⁻³. The magnetic moment comes out at 1.188 μB/cell.

Version two
Compound: DyZrAg2
Source: the Alexandria database
Functional: PBE-GGA
Structure: relaxed

The space group is Fm-3m (No. 225) and the conventional cell measures 7.088, 7.088 and 7.088 Å, with angles of 90.00, 90.00 and 90.00 degrees. The asymmetric unit holds Dy at (0.000, 0.000, 0.000), Zr at (0.000, 0.000, 0.500) and Ag at (0.250, 0.250, 0.250).

The density comes out at 8.76 g cm⁻³. The magnetic moment comes out at 5.036 μB/cell.

So which one wins? Going from most stable to least: version one, version two.

Version one
Compound: Er3Ag
Source: the Alexandria database
Functional: PBE-GGA
Structure: relaxed

The space group is P4/mmm (No. 123) and the conventional cell measures 3.522, 3.522 and 8.786 Å, with angles of 90.00, 90.00 and 90.00 degrees. The asymmetric unit holds Er at (0.000, 0.000, 0.000), Er at (0.500, 0.500, 0.284) and Ag at (0.000, 0.000, 0.500).

The density comes out at 9.29 g cm⁻³. The magnetic moment comes out at 0.000 μB/cell.

Version two
Compound: Er3Ag
Source: the Alexandria database
Functional: PBE-GGA
Structure: relaxed

The space group is I-4 (No. 82) and the conventional cell measures 12.078, 12.078 and 6.098 Å, with angles of 90.00, 90.00 and 90.00 degrees. The asymmetric unit holds Er at (0.005, 0.144, 0.254), Er at (0.092, 0.599, 0.483), Er at (0.199, 0.708, 0.984) and Ag at (0.007, 0.208, 0.754).

The density comes out at 9.10 g cm⁻³. The magnetic moment comes out at 3.718 μB/cell.

Version three
Compound: Er3Ag
Source: the Alexandria database
Functional: PBE-GGA
Structure: relaxed

The space group is I4/mmm (No. 139) and the conventional cell measures 4.549, 4.549 and 10.337 Å, with angles of 90.00, 90.00 and 90.00 degrees. The asymmetric unit holds Er at (0.000, 0.000, 0.000), Er at (0.000, 0.500, 0.250) and Ag at (0.000, 0.000, 0.500).

The density comes out at 9.47 g cm⁻³. The magnetic moment comes out at 0.001 μB/cell.

Version four
Compound: Er3Ag
Source: the Alexandria database
Functional: PBE-GGA
Structure: relaxed

The space group is Pm-3m (No. 221) and the conventional cell measures 4.736, 4.736 and 4.736 Å, with angles of 90.00, 90.00 and 90.00 degrees. The asymmetric unit holds Er at (0.000, 0.000, 0.500) and Ag at (0.500, 0.500, 0.500).

The density comes out at 9.53 g cm⁻³. The magnetic moment comes out at 0.000 μB/cell.

So which one wins? Going from most stable to least: version one, version two, version four, version three.

Version one
Compound: Er3Ag
Source: the Alexandria database
Functional: PBE-GGA
Structure: relaxed

The space group is Fm-3m (No. 225) and the conventional cell measures 7.528, 7.528 and 7.528 Å, with angles of 90.00, 90.00 and 90.00 degrees. The asymmetric unit holds Er at (0.000, 0.000, 0.000), Er at (0.250, 0.250, 0.250) and Ag at (0.000, 0.000, 0.500).

The density comes out at 9.49 g cm⁻³. The magnetic moment comes out at 0.000 μB/cell.

Version two
Compound: Er3Ag
Source: the Alexandria database
Functional: PBE-GGA
Structure: relaxed

The space group is Imm2 (No. 44) and the conventional cell measures 3.689, 11.116 and 5.304 Å, with angles of 90.00, 90.00 and 90.00 degrees. The asymmetric unit holds Er at (0.000, 0.000, 0.000), Er at (0.000, 0.217, 0.500) and Ag at (0.000, 0.500, 0.001).

The density comes out at 9.31 g cm⁻³. The magnetic moment comes out at 0.000 μB/cell.

So which one wins? Going from most stable to least: version two, version one.